First-principles (GGA-PBE) data for PmTmTlIn after structural relaxation, as listed in Alexandria.

Geometry as POSCAR:
```
PmTmTlIn
1.0
-1.5359 -2.5747 -4.4633
0.0883 -5.3733 -0.1692
-4.6115 -2.7641 -0.0572
Pm Tm Tl In
1 1 1 1
Direct
0.2500 0.2500 0.2500
0.7500 0.7500 0.7500
0.5000 0.5000 0.5000
0.0000 0.0000 0.0000
```

Values from the calculation:
- Space group: No. 216

First-principles (GGA-PBE) data for CoNi3Rh after structural relaxation, as listed in Alexandria.

Geometry as POSCAR:
```
CoNi3Rh
1.0
-3.1984 3.6759 4.6850
6.2543 -2.0082 1.5944
3.6554 5.5952 0.8399
Ni Co Rh
12 4 4
Direct
0.1749 0.2286 0.3469
0.7704 0.4216 0.5573
0.0760 0.5223 0.1512
0.9789 0.8277 0.9427
0.9240 0.4777 0.8488
0.3264 0.2728 0.6512
0.5756 0.0219 0.1531
0.2296 0.5784 0.4427
0.8251 0.7714 0.6531
0.6736 0.7272 0.3488
0.0211 0.1723 0.0573
0.4244 0.9781 0.8469
0.2726 0.9250 0.5529
0.5220 0.6744 0.0529
0.4780 0.3256 0.9471
0.7274 0.0750 0.4471
0.1255 0.8755 0.2500
0.6244 0.3744 0.2500
0.3756 0.6256 0.7500
0.8745 0.1245 0.7500
```

Values from the calculation:
- Energy above the most stable polymorph in this dataset: 0.0 meV per atom
- Space group: No. 15

Number 1: ΔH_f (0 K) -1.60 eV/f.u.. Number 2: ΔH_f (0 K) 0.07 eV/f.u..